Record 1
DFT (PBE) results for an optimized crystal structure of Li2YGaPd.

Results
Total DFT energy (no corrections): -12.86 eV/f.u.
Calculated density: 3.2 g/cm3
Energy of formation: 26.06 kcal/mol of atoms

CIF file:
```
data_Li2YGaPd
_cell_length_a 5.2655
_cell_length_b 5.2655
_cell_length_c 5.2756
_cell_angle_alpha 90.00
_cell_angle_beta 90.00
_cell_angle_gamma 90.00
_space_group_name_H-M_alt 'P 4/m m m'
_space_group_IT_number 123
_space_group_name_Hall '-P 4 2'
loop_
_atom_site_label
_atom_site_type_symbol
_atom_site_fract_x
_atom_site_fract_y
_atom_site_fract_z
Li1 Li 0.0000 0.5000 0.0000
Y1 Y 0.0000 0.0000 0.0000
Ga1 Ga 0.0000 0.0000 0.5000
Pd1 Pd 0.5000 0.5000 0.5000
```



Record 2
DFT (PBE) results for an optimized crystal structure of PuSnPt.

Results
Total DFT energy (no corrections): -26.29 eV/f.u.
Calculated density: 13.7 g/cm3
Energy of formation: -14.68 kcal/mol of atoms

CIF file:
```
data_PuSnPt
_cell_length_a 4.7088
_cell_length_b 4.7088
_cell_length_c 3.5307
_cell_angle_alpha 90.00
_cell_angle_beta 90.00
_cell_angle_gamma 120.00
_space_group_name_H-M_alt 'P -6 m 2'
_space_group_IT_number 187
_space_group_name_Hall 'P -6 2'
loop_
_atom_site_label
_atom_site_type_symbol
_atom_site_fract_x
_atom_site_fract_y
_atom_site_fract_z
Pu1 Pu 0.0000 0.0000 0.0000
Sn1 Sn 0.3333 0.6667 0.5000
Pt1 Pt 0.6667 0.3333 0.5000
```



Record 3
DFT (PBE) results for an optimized crystal structure of PuPaOsAu.

Results
Total DFT energy (no corrections): -38.95 eV/f.u.
Calculated density: 16.6 g/cm3
Energy of formation: -3.54 kcal/mol of atoms

CIF file:
```
data_PuPaOsAu
_cell_length_a 7.0202
_cell_length_b 7.0202
_cell_length_c 7.0202
_cell_angle_alpha 90.00
_cell_angle_beta 90.00
_cell_angle_gamma 90.00
_space_group_name_H-M_alt 'F -4 3 m'
_space_group_IT_number 216
_space_group_name_Hall 'F -4 2 3'
loop_
_atom_site_label
_atom_site_type_symbol
_atom_site_fract_x
_atom_site_fract_y
_atom_site_fract_z
Pu1 Pu 0.0000 0.0000 0.0000
Pa1 Pa 0.0000 0.0000 0.5000
Os1 Os 0.2500 0.2500 0.7500
Au1 Au 0.2500 0.2500 0.2500
```



Record 4
DFT (PBE) results for an optimized crystal structure of LiCa2Nd3S6.

Results
Total DFT energy (no corrections): -68.65 eV/f.u.
Calculated density: 4.3 g/cm3

CIF file:
```
data_LiCa2Nd3S6
_cell_length_a 6.9554
_cell_length_b 12.0466
_cell_length_c 7.0123
_cell_angle_alpha 90.00
_cell_angle_beta 109.29
_cell_angle_gamma 90.00
_space_group_name_H-M_alt 'C 1 2/m 1'
_space_group_IT_number 12
_space_group_name_Hall '-C 2y'
loop_
_atom_site_label
_atom_site_type_symbol
_atom_site_fract_x
_atom_site_fract_y
_atom_site_fract_z
Li1 Li 0.0000 0.0000 0.0000
Ca1 Ca 0.0000 0.3334 0.0000
Nd1 Nd 0.0000 0.1664 0.5000
Nd2 Nd 0.0000 0.5000 0.5000
S1 S 0.2460 0.1648 0.2436
S2 S 0.2484 0.0000 0.7569
```



Record 5
DFT (PBE) results for an optimized crystal structure of Rb2HgAsP.

Results
Total DFT energy (no corrections): -10.96 eV/f.u.
Calculated density: 3.4 g/cm3
Energy of formation: 6.18 kcal/mol of atoms

CIF file:
```
data_Rb2HgAsP
_cell_length_a 6.8052
_cell_length_b 6.8052
_cell_length_c 5.0516
_cell_angle_alpha 90.00
_cell_angle_beta 90.00
_cell_angle_gamma 90.00
_space_group_name_H-M_alt 'P 4/m m m'
_space_group_IT_number 123
_space_group_name_Hall '-P 4 2'
loop_
_atom_site_label
_atom_site_type_symbol
_atom_site_fract_x
_atom_site_fract_y
_atom_site_fract_z
Rb1 Rb 0.0000 0.5000 0.0000
Hg1 Hg 0.0000 0.0000 0.5000
As1 As 0.0000 0.0000 0.0000
P1 P 0.5000 0.5000 0.5000
```



Record 6
DFT (PBE) results for an optimized crystal structure of UPd2Rh3.

Results
Total DFT energy (no corrections): -45.09 eV/f.u.
Calculated density: 12.7 g/cm3
Energy of formation: -5.25 kcal/mol of atoms

CIF file:
```
data_UPd2Rh3
_cell_length_a 5.5465
_cell_length_b 13.8419
_cell_length_c 5.1706
_cell_angle_alpha 90.00
_cell_angle_beta 90.00
_cell_angle_gamma 90.00
_space_group_name_H-M_alt 'C m c m'
_space_group_IT_number 63
_space_group_name_Hall '-C 2c 2'
loop_
_atom_site_label
_atom_site_type_symbol
_atom_site_fract_x
_atom_site_fract_y
_atom_site_fract_z
U1 U 0.0000 0.1629 0.2500
Pd1 Pd 0.2478 0.5000 0.0000
Rh1 Rh 0.0000 0.3491 0.7500
Rh2 Rh 0.2474 0.1782 0.7500
```